Here is PmSn2Br8 after structural relaxation from the Alexandria database. Energies are from PBE. Values from VASP.

Calculated values
As for the total moment: 0.000 μB/f.u. The space group is C2/m (12). The calculation puts the density of states at the Fermi level at 0.504 states/eV/atom. The calculation puts the formation energy without anion corrections at -1094 kJ/mol of formula units. Its total energy is -37.47 eV/cell.

```
&SYSTEM
  ibrav = 0, nat = 11, ntyp = 3
/
ATOMIC_SPECIES
Br 79.90 Br.upf
Sn 118.71 Sn.upf
Pm 145.00 Pm.upf
CELL_PARAMETERS angstrom
8.0150 1.0433 0.7916
1.3205 7.9853 -0.3167
1.3205 1.8451 7.7756
ATOMIC_POSITIONS angstrom
Br 8.2044 7.2010 5.4638
Br 7.6571 6.7872 1.2750
Br 2.9989 7.8182 2.0573
Br 2.4516 3.6727 2.7867
Br 4.5812 8.1386 6.1752
Br 6.0748 2.7351 2.0753
Br 7.6571 3.0555 6.1932
Br 2.9989 4.0864 6.9755
Sn 3.3811 1.7784 1.3494
Sn 7.2749 9.0953 6.9011
Pm 0.0000 0.0000 0.0000
```

Here is PmSnBr5 after structural relaxation from the Alexandria database. Energies are from PBE. Values from VASP.

Calculated values
As for the total moment: 0.000 μB/f.u. The space group is P2_1/m (11). The calculation puts the density of states at the Fermi level at 0.000 states/eV/atom. The calculation puts the formation energy without anion corrections at -929 kJ/mol of formula units. Its total energy is -53.48 eV/cell.

```
&SYSTEM
  ibrav = 0, nat = 14, ntyp = 3
/
ATOMIC_SPECIES
Sn 118.71 Sn.upf
Br 79.90 Br.upf
Pm 145.00 Pm.upf
CELL_PARAMETERS angstrom
-0.7836 -1.0288 4.1555
6.0594 -5.8673 -0.3100
8.7184 10.2342 4.1776
ATOMIC_POSITIONS angstrom
Sn 1.1471 0.0432 3.6454
Sn 12.8471 3.2948 4.3776
Br 10.9679 0.7931 5.6829
Br 10.8697 4.2465 6.5193
Br 3.0263 2.5449 2.3402
Br 3.1245 -0.9084 1.5037
Br 5.5805 -4.5917 1.0550
Br 8.3314 4.6644 3.8652
Br 8.4054 1.0158 2.9759
Br 5.6628 -1.3263 4.1579
Br 5.5888 2.3222 5.0472
Br 8.4137 7.9298 6.9681
Pm 8.6378 2.4009 5.6416
Pm 5.3564 0.9372 2.3815
```

Here is Pm4SnBr after structural relaxation from the Alexandria database. Energies are from PBE. Values from VASP.

Calculated values
As for the total moment: 0.000 μB/f.u. The space group is P-1 (2). The calculation puts the density of states at the Fermi level at 1.022 states/eV/atom. The calculation puts the formation energy without anion corrections at -264 kJ/mol of formula units. Its total energy is -54.84 eV/cell.

```
&SYSTEM
  ibrav = 0, nat = 12, ntyp = 3
/
ATOMIC_SPECIES
Pm 145.00 Pm.upf
Br 79.90 Br.upf
Sn 118.71 Sn.upf
CELL_PARAMETERS angstrom
6.4068 0.0091 0.0055
0.0093 7.6102 0.4426
-3.2004 -2.7369 7.6405
ATOMIC_POSITIONS angstrom
Pm 2.7243 6.7371 1.7078
Pm -0.5869 0.1489 2.4679
Pm 0.4913 -1.8548 6.3807
Pm 3.8025 4.7334 5.6207
Pm 0.5937 3.9577 2.7024
Pm 3.7036 2.9283 1.4803
Pm -0.4880 1.9540 6.6082
Pm 2.6219 0.9246 5.3861
Br 1.6032 -1.3639 3.8230
Br -1.5956 2.4366 4.0416
Sn 2.3603 2.9732 7.9755
Sn 0.8554 1.9091 0.1130
```

Here is PmSn2Br8 after structural relaxation from the Alexandria database. Energies are from PBE. Values from VASP.

Calculated values
As for the total moment: 0.000 μB/f.u. The space group is C2/m (12). The calculation puts the density of states at the Fermi level at 0.586 states/eV/atom. The calculation puts the formation energy without anion corrections at -1114 kJ/mol of formula units. Its total energy is -37.69 eV/cell.

```
&SYSTEM
  ibrav = 0, nat = 11, ntyp = 3
/
ATOMIC_SPECIES
Br 79.90 Br.upf
Sn 118.71 Sn.upf
Pm 145.00 Pm.upf
CELL_PARAMETERS angstrom
7.6926 -0.1452 1.7615
1.7274 7.4775 2.2939
0.2856 0.3019 7.9992
ATOMIC_POSITIONS angstrom
Br 7.2474 3.1153 5.7497
Br 7.5508 6.7160 10.3550
Br 2.9913 4.8717 2.2513
Br 2.1065 0.4679 5.7527
Br 2.4583 4.5190 6.3049
Br 2.1548 0.9183 1.6996
Br 7.5992 7.1664 6.3019
Br 6.7143 2.7626 9.8033
Sn 2.1623 2.6895 3.9290
Sn 7.5434 4.9449 8.1256
Pm 0.0000 0.0000 0.0000
```

Here is Pm4SnBr5 after structural relaxation from the Alexandria database. Energies are from PBE. Values from VASP.

Calculated values
As for the total moment: 0.000 μB/f.u. The space group is C2/m (12). The calculation puts the density of states at the Fermi level at 0.467 states/eV/atom. The calculation puts the formation energy without anion corrections at -1360 kJ/mol of formula units. Its total energy is -45.47 eV/cell.

```
&SYSTEM
  ibrav = 0, nat = 10, ntyp = 3
/
ATOMIC_SPECIES
Br 79.90 Br.upf
Pm 145.00 Pm.upf
Sn 118.71 Sn.upf
CELL_PARAMETERS angstrom
4.2302 0.0000 0.0000
0.0000 8.8454 0.2913
-2.1151 -2.0303 9.0229
ATOMIC_POSITIONS angstrom
Br 2.1151 0.2260 6.0286
Br 2.1151 4.7276 6.1962
Br 0.0000 2.0875 3.1179
Br 0.0000 6.5891 3.2856
Br 2.1151 4.4227 0.1456
Pm 2.1151 -0.0506 2.9696
Pm 2.1151 4.7001 9.2054
Pm 0.0000 2.1150 0.1087
Pm 0.0000 6.8657 6.3446
Sn 2.1151 0.0000 0.0000
```

Here is Pm2SnBr after structural relaxation from the Alexandria database. Energies are from PBE. Values from VASP.

Calculated values
As for the total moment: 0.001 μB/f.u. The space group is Fm-3m (225). The calculation puts the density of states at the Fermi level at 0.988 states/eV/atom. The calculation puts the formation energy without anion corrections at -336 kJ/mol of formula units. Its total energy is -18.66 eV/cell.

```
&SYSTEM
  ibrav = 0, nat = 4, ntyp = 3
/
ATOMIC_SPECIES
Pm 145.00 Pm.upf
Br 79.90 Br.upf
Sn 118.71 Sn.upf
CELL_PARAMETERS angstrom
5.4206 0.0000 0.0000
2.7103 4.6944 0.0000
2.7103 1.5648 4.4259
ATOMIC_POSITIONS angstrom
Pm 2.7103 1.5648 1.1065
Pm 8.1309 4.6944 3.3194
Br 0.0000 0.0000 0.0000
Sn 5.4206 3.1296 2.2130
```

Here is Pm6SnBr8 after structural relaxation from the Alexandria database. Energies are from PBE. Values from VASP.

Calculated values
As for the total moment: 0.000 μB/f.u. The space group is R-3 (148). The calculation puts the density of states at the Fermi level at 0.367 states/eV/atom. The calculation puts the formation energy without anion corrections at -2025 kJ/mol of formula units. Its total energy is -66.87 eV/cell.

```
&SYSTEM
  ibrav = 0, nat = 15, ntyp = 3
/
ATOMIC_SPECIES
Br 79.90 Br.upf
Pm 145.00 Pm.upf
Sn 118.71 Sn.upf
CELL_PARAMETERS angstrom
-6.8344 0.2511 2.3050
-1.7711 -2.9074 6.3636
-0.8477 8.7096 7.8357
ATOMIC_POSITIONS angstrom
Br -2.7104 3.5961 10.5193
Br -2.7467 1.2602 6.6744
Br -6.7065 4.7931 9.8299
Br -3.7168 7.8216 10.7239
Br -5.7333 0.4100 9.5440
Br -3.7199 5.6434 6.9603
Br -6.7428 2.4572 5.9850
Br -5.7364 -1.7683 5.7804
Pm -1.7775 6.1753 9.2321
Pm -4.6837 5.3528 12.0149
Pm -4.7695 0.7005 4.4894
Pm -5.6570 7.3410 8.5557
Pm -7.6757 -0.1220 7.2723
Pm -3.7962 -1.2876 7.9486
Sn 0.0000 0.0000 0.0000
```

Here is Pm3SnBr after structural relaxation from the Alexandria database. Energies are from PBE. Values from VASP.

Calculated values
As for the total moment: 0.000 μB/f.u. The space group is P2_1/c (14). The calculation puts the density of states at the Fermi level at 0.894 states/eV/atom. The calculation puts the formation energy without anion corrections at -323 kJ/mol of formula units. Its total energy is -93.12 eV/cell.

```
&SYSTEM
  ibrav = 0, nat = 20, ntyp = 3
/
ATOMIC_SPECIES
Br 79.90 Br.upf
Sn 118.71 Sn.upf
Pm 145.00 Pm.upf
CELL_PARAMETERS angstrom
6.4998 0.0000 0.0000
0.0000 9.1375 -0.8404
0.0000 -4.2952 10.7217
ATOMIC_POSITIONS angstrom
Br 2.1001 -3.4731 9.7359
Br 5.3500 1.5989 5.9265
Br 1.1498 3.2433 3.9548
Br 4.3997 8.3153 0.1454
Sn 1.9020 0.8779 8.5549
Sn 4.5977 3.9644 1.3264
Sn 5.1519 -2.7520 7.1075
Sn 1.3478 7.5942 2.7738
Pm 1.3738 4.5983 1.0929
Pm 1.8761 -2.1180 6.8740
Pm 2.6023 0.8249 5.3964
Pm 4.6237 6.9603 3.0073
Pm 3.8934 3.4960 7.9040
Pm 5.8562 1.0749 2.9634
Pm 5.8522 -2.6991 10.2660
Pm 0.6476 7.5413 -0.3847
Pm 3.8975 4.0173 4.4849
Pm 0.6435 3.7673 6.9179
Pm 5.1259 0.2439 8.7884
Pm 2.6063 1.3462 1.9773
```

Here is Pm2SnBr after structural relaxation from the Alexandria database. Energies are from PBE. Values from VASP.

Calculated values
As for the total moment: 0.000 μB/f.u. The space group is R3m (160). The calculation puts the density of states at the Fermi level at 0.809 states/eV/atom. The calculation puts the formation energy without anion corrections at -352 kJ/mol of formula units. Its total energy is -18.82 eV/cell.

```
&SYSTEM
  ibrav = 0, nat = 4, ntyp = 3
/
ATOMIC_SPECIES
Pm 145.00 Pm.upf
Br 79.90 Br.upf
Sn 118.71 Sn.upf
CELL_PARAMETERS angstrom
4.3800 0.0000 0.0000
2.1900 3.7931 0.0000
2.1900 1.2644 7.6932
ATOMIC_POSITIONS angstrom
Pm 2.1900 1.2644 5.9688
Pm 2.1900 1.2644 1.6965
Br 4.3799 2.5288 3.9087
Sn 6.5699 3.7931 7.6591
```

Here is Pm2SnBr after structural relaxation from the Alexandria database. Energies are from PBE. Values from VASP.

Calculated values
As for the total moment: 0.000 μB/f.u. The space group is Pmmn (59). The calculation puts the density of states at the Fermi level at 0.519 states/eV/atom. The calculation puts the formation energy without anion corrections at -307 kJ/mol of formula units. Its total energy is -36.72 eV/cell.

```
&SYSTEM
  ibrav = 0, nat = 8, ntyp = 3
/
ATOMIC_SPECIES
Pm 145.00 Pm.upf
Br 79.90 Br.upf
Sn 118.71 Sn.upf
CELL_PARAMETERS angstrom
3.6143 0.0000 0.0000
0.0000 5.6715 0.0000
0.0000 0.0000 11.5683
ATOMIC_POSITIONS angstrom
Pm 0.0000 2.8358 1.6016
Pm 0.0000 2.8358 6.9096
Pm 1.8072 0.0000 9.9667
Pm 1.8072 0.0000 4.6587
Br 0.0000 0.0000 7.2020
Br 1.8072 2.8358 4.3663
Sn 0.0000 2.8358 10.0361
Sn 1.8072 0.0000 1.5322
```

Here is Pm4Sn2Br3 after structural relaxation from the Alexandria database. Energies are from PBE. Values from VASP.

Calculated values
As for the total moment: 0.000 μB/f.u. The space group is C2/m (12). The calculation puts the density of states at the Fermi level at 0.379 states/eV/atom. The calculation puts the formation energy without anion corrections at -1028 kJ/mol of formula units. Its total energy is -42.68 eV/cell.

```
&SYSTEM
  ibrav = 0, nat = 9, ntyp = 3
/
ATOMIC_SPECIES
Br 79.90 Br.upf
Pm 145.00 Pm.upf
Sn 118.71 Sn.upf
CELL_PARAMETERS angstrom
-2.4250 3.2629 1.7858
-1.9650 -3.7523 -1.3328
2.4178 -6.9952 16.0648
ATOMIC_POSITIONS angstrom
Br -0.6674 -5.6375 9.3943
Br 0.0000 0.0000 0.0000
Br -1.3048 -1.8470 7.1234
Pm -2.0162 0.1916 2.4323
Pm -3.6558 -2.5949 5.2972
Pm 0.0440 -7.6761 14.0855
Pm 1.6836 -4.8896 11.2206
Sn -0.3429 -4.6677 13.5834
Sn -1.6293 -2.8169 2.9344
```

Here is Pm5Sn2Br2 after structural relaxation from the Alexandria database. Energies are from PBE. Values from VASP.

Calculated values
As for the total moment: 0.145 μB/f.u. The space group is C2/m (12). The calculation puts the density of states at the Fermi level at 0.840 states/eV/atom. The calculation puts the formation energy without anion corrections at -683 kJ/mol of formula units. Its total energy is -42.18 eV/cell.

```
&SYSTEM
  ibrav = 0, nat = 9, ntyp = 3
/
ATOMIC_SPECIES
Pm 145.00 Pm.upf
Br 79.90 Br.upf
Sn 118.71 Sn.upf
CELL_PARAMETERS angstrom
5.7631 0.0000 0.0000
-2.8816 8.2118 -0.4673
0.0000 -2.1227 5.8969
ATOMIC_POSITIONS angstrom
Pm 2.8816 0.1889 4.7083
Pm 0.0000 0.0000 0.0000
Pm 2.8816 3.9051 2.9149
Pm 0.0000 2.1840 2.5146
Pm 0.0000 5.9002 0.7212
Br 0.0000 0.8818 5.2771
Br 2.8816 5.2073 0.1525
Sn 2.8816 0.8827 1.6782
Sn 0.0000 5.2064 3.7513
```